Tl4Pb5: relaxed, PBEsol.

Lattice parameters (Å, degrees): 4.828 7.747 7.747 84.43 71.84 71.84
Positions (direct):
1 Pb 0.334 0.331 0.000
2 Pb 0.334 0.000 0.331
3 Pb 0.666 0.000 0.669
4 Pb 0.000 0.000 0.000
5 Pb 0.666 0.669 0.000
6 Tl 0.333 0.667 0.667
7 Tl 0.000 0.333 0.667
8 Tl 0.000 0.667 0.333
9 Tl 0.667 0.333 0.333

Calculated values
Fermi-level density of states in states/eV/f.u.: 4.0
Uncorrected energy in eV/atom: -3.40
Mass density in Mg/m³: 11.76
Formation energy from the elements in eV per atom: -0.01